Entry 1:
A geometry-optimized YBeSi4 structure, computed with PBE.

Unit cell a=7.2454 b=7.2454 c=7.2454 alpha=90.00 beta=90.00 gamma=90.00
Closest atoms and distances in Å follow each position.
Space group F-43m (No. 216)
Symmetry-distinct sites (fractional):
Y  0.0000  0.0000  0.0000 [4 per cell]  12 Si 3.01, 4 Be 3.14
Be  0.2500  0.2500  0.7500 [4 per cell]  12 Si 3.00, 4 Y 3.14
Si  0.1234  0.1234  0.3766 [16 per cell]  6 Si 2.53-2.59

Calculated values
- VASP energy (Ha/atom) = -0.1915
- ΔE_f (raw) (eV per atom) = 0.102
- DOS(E_F) (states/eV/atom) = 0.48


Entry 2:
A geometry-optimized P2Cl3O4 structure, computed with PBE.

Unit cell a=21.1975 b=7.1163 c=4.6473 alpha=90.00 beta=97.17 gamma=90.00
Closest atoms and distances in Å follow each position.
Space group C2/c (No. 15)
Symmetry-distinct sites (fractional):
P  0.2036  0.1469  0.3891 [8 per cell]  3 O 1.56-1.70
Cl  0.0000  0.0407  0.7500 [4 per cell]  2 Cl 2.39
Cl  0.1261  0.3080  0.2775 [8 per cell]  1 P 2.02
O  0.1873  0.0271  0.0710 [8 per cell]  2 P 1.56-1.70
O  0.2277  0.2971  0.6903 [8 per cell]  2 P 1.60-1.78

Calculated values
- VASP energy (Ha/atom) = -0.1946
- ΔE_f (raw) (eV per atom) = -1.274


Entry 3:
A geometry-optimized IrOs2Pb structure, computed with PBE.

Unit cell a=6.4582 b=6.4582 c=6.4582 alpha=90.00 beta=90.00 gamma=90.00
Closest atoms and distances in Å follow each position.
Space group F-43m (No. 216)
Symmetry-distinct sites (fractional):
Ir  0.0000  0.0000  0.0000 [4 per cell]  4 Pb 2.80, 4 Os 2.80
Os  0.0000  0.0000  0.5000 [4 per cell]  4 Pb 2.80, 4 Os 2.80
Os  0.2500  0.2500  0.2500 [4 per cell]  4 Os 2.80, 4 Ir 2.80
Pb  0.2500  0.2500  0.7500 [4 per cell]  4 Os 2.80, 4 Ir 2.80

Calculated values
- ΔH_f (0 K) (eV/f.u.) = 4.273
- VASP energy (Ha/atom) = -0.2826
- DOS(E_F) (states/eV/atom) = 1.20


Entry 4:
A geometry-optimized BaSrMgMo2 structure, computed with PBE.

Unit cell a=5.2809 b=5.2809 c=5.7452 alpha=90.00 beta=90.00 gamma=90.00
Closest atoms and distances in Å follow each position.
Space group P4/mmm (No. 123)
Symmetry-distinct sites (fractional):
Ba  0.0000  0.0000  0.0000 [1 per cell]  4 Mg 3.73, 8 Mo 3.90
Sr  0.5000  0.5000  0.5000 [1 per cell]  4 Mo 2.64, 2 Mg 2.87
Mg  0.5000  0.5000  0.0000 [1 per cell]  2 Sr 2.87
Mo  0.0000  0.5000  0.5000 [2 per cell]  2 Sr 2.64

Calculated values
- ΔH_f (0 K) (eV/f.u.) = 9.653
- VASP energy (Ha/atom) = -0.1265
- DOS(E_F) (states/eV/atom) = 1.02


Entry 5:
A geometry-optimized Pr2Sn4IrPd3 structure, computed with PBE.

Unit cell a=4.5582 b=4.5582 c=10.8750 alpha=90.00 beta=90.00 gamma=90.00
Closest atoms and distances in Å follow each position.
Space group P-4m2 (No. 115)
Symmetry-distinct sites (fractional):
Pr  0.0000  0.5000  0.2404 [2 per cell]  8 Sn 3.45-3.63, 2 Ir 3.47, 6 Pd 3.47-3.50
Sn  0.0000  0.0000  0.5000 [1 per cell]  4 Pd 2.70
Sn  0.0000  0.5000  0.8728 [2 per cell]  3 Pd 2.60-2.67, 2 Ir 2.67
Sn  0.5000  0.5000  0.5000 [1 per cell]  4 Pd 2.70
Ir  0.5000  0.5000  0.0000 [1 per cell]  4 Sn 2.67
Pd  0.0000  0.0000  0.0000 [1 per cell]  4 Sn 2.67
Pd  0.0000  0.5000  0.6335 [2 per cell]  5 Sn 2.60-2.70

Calculated values
- ΔH_f (0 K) (eV/f.u.) = -7.053
- VASP energy (Ha/atom) = -0.2097
- DOS(E_F) (states/eV/atom) = 0.73


Entry 6:
A geometry-optimized NaLa3Cd4 structure, computed with PBE.

Unit cell a=3.8894 b=3.8894 c=15.6991 alpha=90.00 beta=90.00 gamma=90.00
Closest atoms and distances in Å follow each position.
Space group P4/mmm (No. 123)
Symmetry-distinct sites (fractional):
Na  0.0000  0.0000  0.0000 [1 per cell]  8 Cd 3.32
La  0.0000  0.0000  0.2466 [2 per cell]  8 Cd 3.40
La  0.0000  0.0000  0.5000 [1 per cell]  8 Cd 3.39
Cd  0.5000  0.5000  0.1188 [2 per cell]  4 Na 3.32, 4 La 3.40
Cd  0.5000  0.5000  0.3741 [2 per cell]  8 La 3.39-3.40

Calculated values
- ΔH_f (0 K) (eV/f.u.) = -2.063
- VASP energy (Ha/atom) = -0.1003
- DOS(E_F) (states/eV/atom) = 0.95


Entry 7:
A geometry-optimized CaBPd3 structure, computed with PBE.

Unit cell a=5.3293 b=5.3293 c=21.2663 alpha=90.00 beta=90.00 gamma=120.00
Closest atoms and distances in Å follow each position.
Space group R-3 (No. 148, hexagonal axes)
Symmetry-distinct sites (fractional):
Ca  0.0000  0.0000  0.1746 [6 per cell]  6 Pd 2.91-3.08, 3 Ca 3.10, 1 B 3.24
B  0.0000  0.0000  0.3268 [6 per cell]  6 Pd 2.13-2.17
Pd  0.0020  0.6496  0.7210 [18 per cell]  2 B 2.13-2.17

Calculated values
- ΔH_f (0 K) (eV/f.u.) = -1.144
- VASP energy (Ha/atom) = -0.1867
- DOS(E_F) (states/eV/atom) = 0.46


Entry 8:
A geometry-optimized Fe2PPb structure, computed with PBE.

Unit cell a=3.4800 b=3.4800 c=18.5820 alpha=90.00 beta=90.00 gamma=120.00
Closest atoms and distances in Å follow each position.
Space group R3m (No. 160, hexagonal axes)
Symmetry-distinct sites (fractional):
Fe  0.0000  0.0000  0.0000 [3 per cell]  3 P 2.19
Fe  0.0000  0.0000  0.2385 [3 per cell]  3 P 2.20
P  0.0000  0.0000  0.6204 [3 per cell]  6 Fe 2.19-2.20
Pb  0.0000  0.0000  0.4514 [3 per cell]  6 Fe 2.97-3.01, 1 P 3.14

Calculated values
- ΔH_f (0 K) (eV/f.u.) = 0.222
- VASP energy (Ha/atom) = -0.2372
- DOS(E_F) (states/eV/atom) = 0.88


Entry 9:
A geometry-optimized Nd6Dy4Tm structure, computed with PBE.

Unit cell a=6.7643 b=6.7643 c=16.6538 alpha=90.00 beta=90.00 gamma=90.00
Closest atoms and distances in Å follow each position.
Space group I-42m (No. 121)
Symmetry-distinct sites (fractional):
Nd  0.0000  0.5000  0.0000 [4 per cell]  4 Dy 3.17, 2 Tm 3.38
Nd  0.1909  0.1909  0.1774 [8 per cell]  5 Dy 3.41-3.73, 1 Tm 3.47, 1 Nd 3.65
Dy  0.1766  0.1766  0.3822 [8 per cell]  5 Nd 3.17-3.55, 1 Dy 3.38
Tm  0.0000  0.0000  0.0000 [2 per cell]  8 Nd 3.38-3.47, 4 Dy 3.66

Calculated values
- ΔH_f (0 K) (eV/f.u.) = 3.261
- VASP energy (Ha/atom) = -0.1611
- DOS(E_F) (states/eV/atom) = 1.48


Entry 10:
A geometry-optimized TbHfCu structure, computed with PBE.

Unit cell a=3.3298 b=3.3298 c=11.6584 alpha=90.00 beta=90.00 gamma=90.00
Closest atoms and distances in Å follow each position.
Space group I4mm (No. 107)
Symmetry-distinct sites (fractional):
Tb  0.0000  0.0000  0.0000 [2 per cell]  4 Cu 3.14, 5 Hf 3.30-3.52, 4 Tb 3.33
Hf  0.0000  0.0000  0.3015 [2 per cell]  4 Cu 2.76
Cu  0.0000  0.0000  0.6787 [2 per cell]  4 Hf 2.76

Calculated values
- ΔH_f (0 K) (eV/f.u.) = -0.153
- VASP energy (Ha/atom) = -0.2307
- energy relative to the lowest polymorph listed for this composition (meV per atom) = 0
- DOS(E_F) (states/eV/atom) = 1.29


Entry 11:
A geometry-optimized Mg3ZnCd2 structure, computed with PBE.

Unit cell a=3.1922 b=3.1922 c=12.0496 alpha=90.00 beta=90.00 gamma=90.00
Closest atoms and distances in Å follow each position.
Space group P4/mmm (No. 123)
Symmetry-distinct sites (fractional):
Mg  0.0000  0.0000  0.0000 [1 per cell]  8 Cd 3.10, 4 Mg 3.19
Mg  0.0000  0.0000  0.3542 [2 per cell]  4 Zn 2.86, 4 Cd 3.11, 4 Mg 3.19
Zn  0.5000  0.5000  0.5000 [1 per cell]  8 Mg 2.86, 4 Zn 3.19
Cd  0.5000  0.5000  0.1764 [2 per cell]  8 Mg 3.10-3.11, 4 Cd 3.19

Calculated values
- ΔH_f (0 K) (eV/f.u.) = -0.521
- VASP energy (Ha/atom) = -0.0515
- DOS(E_F) (states/eV/atom) = 0.31


Entry 12:
A geometry-optimized Sb2PtI8 structure, computed with PBE.

Unit cell a=13.7806 b=8.2914 c=9.8647 alpha=90.00 beta=103.92 gamma=90.00
Closest atoms and distances in Å follow each position.
Space group C2/m (No. 12)
Symmetry-distinct sites (fractional):
Sb  0.1303  0.0000  0.3865 [4 per cell]  4 I 2.84-3.03
Pt  0.0000  0.0000  0.0000 [2 per cell]  4 I 2.63
I  0.1128  0.0000  0.6849 [4 per cell]  2 Sb 3.01-3.25
I  0.1177  0.2247  0.1405 [8 per cell]  1 Pt 2.63
I  0.1579  0.5000  0.5219 [4 per cell]  1 Sb 2.84

Calculated values
- VASP energy (Ha/atom) = -0.0961
- ΔE_f (raw) (eV per atom) = -0.190


Calculated density values, unit g cm⁻³, following the record order: 3.67 2.22 19.23 4.57 9.32 6.22 7.05 8.94 7.34 10.30 4.91 4.41.